# 1
Computed, not measured: a geometry-optimized GdNi2As2 structure at the GGA-PBEsol level of DFT.

Summary:
Energy in eV/atom: -8.238
Total magnetization in μB/f.u.: 6.93
Symmetry: I4/mmm (139)
Energy of formation in eV per atom: -0.843

a = 3.995 Å, b = 3.995 Å, c = 5.672 Å
α = 110.62°, β = 110.62°, γ = 90.00°
Last column: magnetic moment on the atom in μB.
Sites, in units of the cell vectors:
Gd (0.000, 0.000, 0.000)  6.89
Ni (0.250, 0.750, 0.500)  -0.01
Ni (0.750, 0.250, 0.500)  -0.01
As (0.629, 0.629, 0.258)  -0.02
As (0.371, 0.371, 0.742)  -0.02

# 2
Computed, not measured: a geometry-optimized GdAs2Pd3 structure at the GGA-PBEsol level of DFT.

Summary:
Energy in eV/atom: -7.931
Total magnetization in μB/f.u.: 2.32
Symmetry: C2/m (12)
Energy of formation in eV per atom: -0.842

a = 4.031 Å, b = 8.493 Å, c = 9.894 Å
α = 107.35°, β = 90.00°, γ = 103.73°
Last column: magnetic moment on the atom in μB.
Sites, in units of the cell vectors:
Gd (0.846, 0.692, 0.301)  6.91
Gd (0.000, 0.000, 0.000)  -6.91
Gd (0.154, 0.308, 0.699)  6.91
As (0.636, 0.273, 0.455)  -0.01
As (0.460, 0.920, 0.212)  0.00
As (0.199, 0.397, 0.131)  -0.01
As (0.364, 0.727, 0.545)  -0.01
As (0.801, 0.603, 0.869)  -0.01
As (0.540, 0.080, 0.788)  0.00
Pd (0.320, 0.639, 0.033)  -0.01
Pd (0.042, 0.084, 0.332)  0.01
Pd (0.780, 0.559, 0.610)  -0.01
Pd (0.680, 0.361, 0.967)  -0.01
Pd (0.621, 0.242, 0.198)  -0.01
Pd (0.379, 0.758, 0.802)  -0.01
Pd (0.958, 0.916, 0.668)  0.01
Pd (0.500, 0.000, 0.500)  0.00
Pd (0.220, 0.441, 0.390)  -0.01

# 3
Computed, not measured: a geometry-optimized GdAsS structure at the GGA-PBEsol level of DFT.

Summary:
Energy in eV/atom: -9.629
Total magnetization in μB/f.u.: 7.00
Symmetry: Pnma (62)

a = 3.803 Å, b = 3.833 Å, c = 16.848 Å
α = 90.00°, β = 90.00°, γ = 90.00°
Last column: magnetic moment on the atom in μB.
Sites, in units of the cell vectors:
Gd (0.250, 0.237, 0.854)  6.91
Gd (0.250, 0.263, 0.354)  6.91
Gd (0.750, 0.763, 0.146)  6.91
Gd (0.750, 0.737, 0.646)  6.91
As (0.750, 0.220, 0.501)  -0.01
As (0.750, 0.280, 0.001)  -0.01
As (0.250, 0.780, 0.499)  -0.01
As (0.250, 0.720, 0.999)  -0.01
S (0.250, 0.239, 0.686)  -0.01
S (0.250, 0.261, 0.186)  -0.01
S (0.750, 0.761, 0.314)  -0.01
S (0.750, 0.739, 0.814)  -0.01

# 4
Computed, not measured: a geometry-optimized GeAs3 structure at the GGA-PBEsol level of DFT.

Summary:
Energy in eV/atom: -5.026
Total magnetization in μB/f.u.: 0.00
Symmetry: R3m (160)
Energy of formation in eV per atom: 0.038

a = 3.725 Å, b = 3.725 Å, c = 7.180 Å
α = 74.97°, β = 74.97°, γ = 60.00°
Sites, in units of the cell vectors:
As (0.885, 0.885, 0.346)
As (0.113, 0.113, 0.662)
As (0.617, 0.617, 0.149)
Ge (0.386, 0.386, 0.843)

# 5
Computed, not measured: a geometry-optimized GeAs2 structure at the GGA-PBEsol level of DFT.

Summary:
Energy in eV/atom: -5.071
Total magnetization in μB/f.u.: 0.00
Symmetry: Pbam (55)
Energy of formation in eV per atom: -0.020

a = 3.767 Å, b = 10.169 Å, c = 14.446 Å
α = 90.00°, β = 90.00°, γ = 90.00°
Sites, in units of the cell vectors:
As (0.000, 0.625, 0.698)
As (0.000, 0.375, 0.302)
As (0.000, 0.125, 0.802)
As (0.000, 0.875, 0.198)
As (0.000, 0.761, 0.962)
As (0.000, 0.239, 0.038)
As (0.000, 0.261, 0.538)
As (0.000, 0.739, 0.462)
As (0.500, 0.883, 0.884)
As (0.500, 0.117, 0.116)
As (0.500, 0.383, 0.616)
As (0.500, 0.617, 0.384)
As (0.500, 0.924, 0.592)
As (0.500, 0.076, 0.408)
As (0.500, 0.424, 0.908)
As (0.500, 0.576, 0.092)
Ge (0.000, 0.564, 0.861)
Ge (0.000, 0.436, 0.139)
Ge (0.000, 0.064, 0.639)
Ge (0.000, 0.936, 0.361)
Ge (0.500, 0.776, 0.727)
Ge (0.500, 0.224, 0.273)
Ge (0.500, 0.276, 0.773)
Ge (0.500, 0.724, 0.227)

# 6
Computed, not measured: a geometry-optimized GeAs3H structure at the GGA-PBEsol level of DFT.

Summary:
Energy in eV/atom: -3.419
Total magnetization in μB/f.u.: 0.73
Symmetry: Pm-3m (221)

a = 4.904 Å, b = 4.904 Å, c = 4.904 Å
α = 90.00°, β = 90.00°, γ = 90.00°
Last column: magnetic moment on the atom in μB.
Sites, in units of the cell vectors:
H (0.500, 0.500, 0.500)  0.29
As (0.000, 0.500, 0.000)  0.01
As (0.000, 0.000, 0.500)  0.01
As (0.500, 0.000, 0.000)  0.01
Ge (0.000, 0.000, 0.000)  -0.01

# 7
Computed, not measured: a geometry-optimized GeAs2H structure at the GGA-PBEsol level of DFT.

Summary:
Energy in eV/atom: -4.035
Total magnetization in μB/f.u.: 0.00
Symmetry: Fm-3m (225)

a = 4.405 Å, b = 4.405 Å, c = 4.405 Å
α = 60.00°, β = 60.00°, γ = 60.00°
Sites, in units of the cell vectors:
H (0.000, 0.000, 0.000)
As (0.250, 0.250, 0.250)
As (0.750, 0.750, 0.750)
Ge (0.500, 0.500, 0.500)

# 8
Computed, not measured: a geometry-optimized GeAs2HSe structure at the GGA-PBEsol level of DFT.

Summary:
Energy in eV/atom: -4.001
Total magnetization in μB/f.u.: 0.00
Symmetry: P4/mmm (123)

a = 3.912 Å, b = 3.912 Å, c = 5.468 Å
α = 90.00°, β = 90.00°, γ = 90.00°
Sites, in units of the cell vectors:
H (0.000, 0.000, 0.000)
As (0.000, 0.500, 0.000)
As (0.500, 0.000, 0.000)
Ge (0.500, 0.500, 0.500)
Se (0.000, 0.000, 0.500)

# 9
Computed, not measured: a geometry-optimized YHfGeAs2 structure at the GGA-PBEsol level of DFT.

Summary:
Energy in eV/atom: -6.165
Total magnetization in μB/f.u.: 0.00
Symmetry: P4/mmm (123)
Energy of formation in eV per atom: 0.330

a = 4.897 Å, b = 4.969 Å, c = 4.969 Å
α = 90.00°, β = 90.00°, γ = 90.00°
Sites, in units of the cell vectors:
Y (0.500, 0.500, 0.500)
As (0.000, 0.000, 0.500)
As (0.000, 0.500, 0.000)
Hf (0.500, 0.000, 0.000)
Ge (0.000, 0.000, 0.000)

# 10
Computed, not measured: a geometry-optimized HgGeAsI2 structure at the GGA-PBEsol level of DFT.

Summary:
Energy in eV/atom: -2.053
Total magnetization in μB/f.u.: 0.11
Symmetry: P4/mmm (123)

a = 5.167 Å, b = 5.687 Å, c = 5.687 Å
α = 90.00°, β = 90.00°, γ = 90.00°
Last column: magnetic moment on the atom in μB.
Sites, in units of the cell vectors:
I (0.000, 0.000, 0.500)  0.03
I (0.000, 0.500, 0.000)  0.03
As (0.500, 0.000, 0.000)  0.24
Ge (0.500, 0.500, 0.500)  -0.19
Hg (0.000, 0.000, 0.000)  0.00